# 1
Computed, not measured: an optimized crystal structure of Er4Ni2C at the PBE level of DFT.

It has space group I4/mmm (No. 139), with a = 4.766 Å, b = 4.766 Å, c = 13.256 Å, α = 90.00°, β = 90.00° and γ = 90.00°. Symmetry generates all atoms from Er at (0.000, 0.000, 0.182), Er at (0.000, 0.500, 0.000), Ni at (0.000, 0.000, 0.381) and C at (0.000, 0.000, 0.000).

As for the formation energy from the elements: -0.15 eV per atom. The volume is 301.1 Å³ per cell. Its size of the total moment is 0.00 μB/cell.

***

# 2
Computed, not measured: an optimized crystal structure of PmTaIr2 at the PBE level of DFT.

It has space group R-3m (No. 166, hexagonal axes), with a = 4.3672 Å, b = 4.3672 Å, c = 15.2232 Å, α = 90.00°, β = 90.00° and γ = 120.00°. Symmetry generates all atoms from Pm at (0.0000, 0.0000, 0.0000), Ta at (0.0000, 0.0000, 0.5000) and Ir at (0.0000, 0.0000, 0.2155).

As for the formation energy from the elements: -0.48 eV per atom. The volume is 251.4 Å³ per cell. Its size of the total moment is 0.00 μB/cell. The value obtained for the polymorph energy (0 for the lowest one) is 0.079 eV/atom.

***

# 3
Computed, not measured: an optimized crystal structure of Dy3ThSc at the PBE level of DFT.

It has space group C2/m (No. 12), with a = 16.470 Å, b = 5.331 Å, c = 6.885 Å, α = 90.00°, β = 90.45° and γ = 90.00°. Symmetry generates all atoms from Dy at (0.002, 0.000, 0.244), Dy at (0.114, 0.500, 0.496), Dy at (0.202, 0.000, 0.748), Th at (0.106, 0.500, 0.997) and Sc at (0.199, 0.000, 0.242).

As for the formation energy from the elements: 0.05 eV per atom. The volume is 604.6 Å³ per cell. Its size of the total moment is 0.00 μB/cell. The value obtained for the polymorph energy (0 for the lowest one) is 0.004 eV/atom.

***

Computed values of raw total energy (unit: eV/cell) for the preceding records, in sequence: -80.13, -108.79, -109.26.